Zr2Cd | meta-GGA SCAN | single point on PBEsol structure

## Properties
The calculation puts the total energy at -183.6 eV/cell. As for the crystal system: orthorhombic. The magnetic moment is 0.0 μB/f.u.

```
Zr2Cd
1.0
3.1839 0.0000 0.0000
0.0000 5.0531 0.0000
-1.5919 0.0000 8.0130
Zr Cd
4 2
direct
0.8990 0.2500 0.7980
0.5647 0.2500 0.1295
0.1010 0.7500 0.2020
0.4353 0.7500 0.8705
0.7699 0.7500 0.5398
0.2301 0.2500 0.4602
```